# LaZr2In

LaZr2In after structural relaxation (PBE, Alexandria).

Lattice parameters (Å, degrees): 10.5924 10.5924 10.5924 18.31 18.31 18.31
Fractional coordinates of all 4 atoms:
La 0.0000 0.0000 0.0000
Zr 0.2463 0.2463 0.2463
Zr 0.7537 0.7537 0.7537
In 0.5000 0.5000 0.5000

M_tot   0.0 μB/cell
E_form   0.20 eV/f.u.
Crystal system   trigonal
ρ   7.07 g/cm³